# 1
## SmCd6Au4 (PBE)

Data for a geometry-optimized SmCd6Au4 structure.

Computed properties:
**Symmetry**: No. 187
**Mass density**: 10.803 g cm⁻³
**ΔE_f**: -0.300 eV per atom

```
11
Lattice="8.538 0.000 0.000 -4.269 7.394 0.000 0.000 0.000 3.926" Properties=species:S:1:pos:R:3 pbc="T T T"
Sm 0.000 0.000 0.000
Cd 0.000 2.925 1.963
Cd -1.736 5.932 1.963
Cd 4.269 0.576 0.000
Cd 2.633 3.409 0.000
Cd 1.736 5.932 1.963
Cd 5.905 3.409 0.000
Au 0.000 4.930 0.000
Au 2.198 1.269 1.963
Au 6.341 1.269 1.963
Au 4.269 4.857 1.963
```

=====

# 2
## LaCr2Ga2 (PBE)

Data for a geometry-optimized LaCr2Ga2 structure.

Computed properties:
**Symmetry**: No. 139
**Mass density**: 6.992 g cm⁻³
**ΔE_f**: -0.018 eV per atom

```
5
Lattice="-1.928 1.928 6.110 1.928 -1.928 6.110 1.928 1.928 -6.110" Properties=species:S:1:pos:R:3 pbc="T T T"
La 0.000 0.000 0.000
Cr 1.928 0.000 3.055
Cr 0.000 1.928 3.055
Ga 0.000 0.000 4.688
Ga 0.000 0.000 7.532
```

=====

# 3
## ZrTlHg2W (PBE)

Data for a geometry-optimized ZrTlHg2W structure.

Computed properties:
**Symmetry**: No. 123
**Mass density**: 9.483 g cm⁻³
**ΔE_f**: 1.884 eV per atom

```
5
Lattice="5.246 0.000 0.000 0.000 5.246 0.000 0.000 0.000 5.603" Properties=species:S:1:pos:R:3 pbc="T T T"
Zr 0.000 0.000 0.000
Tl 0.000 0.000 2.801
Hg 0.000 2.623 2.801
Hg 2.623 0.000 2.801
W 2.623 2.623 0.000
```

=====

# 4
## Ho2Pu3Ge4 (PBE)

Data for a geometry-optimized Ho2Pu3Ge4 structure.

Computed properties:
**Symmetry**: No. 14
**Mass density**: 10.476 g cm⁻³
**ΔE_f**: -0.566 eV per atom

```
18
Lattice="7.828 0.000 0.000 0.000 7.801 0.000 -2.662 0.000 7.021" Properties=species:S:1:pos:R:3 pbc="T T T"
Ho 1.319 1.454 0.416
Ho -0.012 2.446 3.926
Ho 5.177 5.355 3.095
Ho 3.846 6.347 6.606
Pu 1.339 5.205 1.500
Pu 0.008 6.497 5.010
Pu 2.583 0.000 3.511
Pu 3.914 3.901 0.000
Pu 5.157 1.304 2.011
Pu 3.826 2.597 5.522
Ge -1.555 4.174 5.733
Ge -0.224 7.527 2.222
Ge 1.465 0.983 6.194
Ge 2.796 2.918 2.684
Ge 2.370 4.883 4.338
Ge 3.701 6.818 0.827
Ge 5.389 0.274 4.799
Ge 6.720 3.627 1.288
```

=====

# 5
## DyCdGa2 (PBE)

Data for a geometry-optimized DyCdGa2 structure.

Computed properties:
**Symmetry**: No. 123
**Mass density**: 8.261 g cm⁻³
**Relative energy among the computed polymorphs**: 0.000 eV/atom
**ΔE_f**: -0.428 eV per atom

```
4
Lattice="4.428 0.000 0.000 0.000 4.428 0.000 0.000 0.000 4.249" Properties=species:S:1:pos:R:3 pbc="T T T"
Dy 0.000 0.000 0.000
Cd 2.214 2.214 0.000
Ga 0.000 2.214 2.124
Ga 2.214 0.000 2.124
```

=====

# 6
## CaTaTc (PBE)

Data for a geometry-optimized CaTaTc structure.

Computed properties:
**Symmetry**: No. 107
**Mass density**: 8.245 g cm⁻³
**Relative energy among the computed polymorphs**: 0.000 eV/atom
**ΔE_f**: 0.188 eV per atom

```
3
Lattice="-1.664 1.664 5.799 1.664 -1.664 5.799 1.664 1.664 -5.799" Properties=species:S:1:pos:R:3 pbc="T T T"
Ca 0.000 0.000 0.000
Ta 0.000 0.000 8.302
Tc 0.000 0.000 3.651
```

=====

# 7
## MgNb3Tc (PBE)

Data for a geometry-optimized MgNb3Tc structure.

Computed properties:
**Symmetry**: No. 221
**Mass density**: 5.852 g cm⁻³
**Relative energy among the computed polymorphs**: 0.000 eV/atom
**ΔE_f**: 0.904 eV per atom

```
5
Lattice="4.846 0.000 0.000 0.000 4.846 0.000 0.000 0.000 4.846" Properties=species:S:1:pos:R:3 pbc="T T T"
Mg 0.000 0.000 0.000
Nb 0.000 2.423 2.423
Nb 2.423 0.000 2.423
Nb 2.423 2.423 0.000
Tc 2.423 2.423 2.423
```

=====

# 8
## Tb4Sc5Tl (PBE)

Data for a geometry-optimized Tb4Sc5Tl structure.

Computed properties:
**Symmetry**: No. 107
**Mass density**: 6.200 g cm⁻³
**ΔE_f**: 0.097 eV per atom

```
10
Lattice="-5.084 5.084 2.759 5.084 -5.084 2.759 5.084 5.084 -2.759" Properties=species:S:1:pos:R:3 pbc="T T T"
Tb 3.190 0.000 0.000
Tb 6.978 0.000 0.000
Tb 0.000 3.190 0.000
Tb 0.000 6.978 0.000
Sc 3.212 3.212 -0.009
Sc 1.871 -1.871 2.750
Sc -1.871 1.871 2.750
Sc 1.871 1.871 2.750
Sc 0.000 0.000 4.284
Tl 0.000 0.000 1.447
```